This record from the Alexandria database describes crystalline ScIn2Fe at its relaxed geometry. The functional is PBE.

Raw total energy: -5.052 eV/atom
Energy of formation: 0.0157 eV/atom
Density of states at the Fermi level: 2.64 states/eV/f.u.

a b c (Å): 6.0794 8.4885 3.1081
angles (deg): 90.00 90.18 90.00
Space group C2/m (No. 12)
One atom of each set of equivalent atoms:
Sc: 0.0000 0.0000 0.0000
In: 0.2500 0.2500 0.5000
Fe: 0.0000 0.5000 0.0000